Record 1
Computed, not measured: an optimized crystal structure of LaDy7Tl4 at the PBE-GGA level of DFT.

Cell and atoms, written as extended XYZ:
```
12
Lattice="5.740 0.000 0.000 2.870 8.820 0.658 2.870 0.869 7.290" Properties=species:S:1:pos:R:3 pbc="T T T"
La 0.000 0.000 0.000
Dy 8.610 8.209 4.505
Dy 2.870 1.480 3.443
Dy 2.870 5.536 2.381
Dy 8.610 4.152 5.566
Dy 5.740 6.528 6.169
Dy 2.870 0.000 0.000
Dy 5.740 3.161 1.779
Tl 5.740 2.731 4.751
Tl 5.740 6.957 3.197
Tl 8.610 6.723 7.445
Tl 2.870 2.966 0.502
```

Properties
M_tot	0.0	μB/f.u.
E	-3.909	eV per atom
DOS at the Fermi energy	13.26	states/eV/cell
space-group type	C2/m, No. 12


Record 2
Computed, not measured: an optimized crystal structure of La7Dy12Tl at the PBE-GGA level of DFT.

Cell and atoms, written as extended XYZ:
```
20
Lattice="-7.787 -2.997 2.803 -2.711 -1.246 -8.281 2.999 -8.275 0.066" Properties=species:S:1:pos:R:3 pbc="T T T"
La -1.029 -7.842 -4.543
La -1.151 -7.911 -0.755
La -2.757 -4.739 -5.867
La -3.749 -6.259 -2.706
La -4.741 -7.779 0.455
La -6.347 -4.607 -4.657
La -6.470 -4.676 -0.869
Dy 1.694 -7.770 -2.701
Dy -2.505 -10.351 0.984
Dy -2.866 -4.359 0.307
Dy -7.003 -7.940 -2.943
Dy -1.587 -7.077 -7.860
Dy -3.951 -9.922 -2.588
Dy -3.548 -2.596 -2.824
Dy -5.912 -5.441 2.448
Dy -0.495 -4.578 -2.469
Dy -4.633 -8.159 -5.719
Dy -4.994 -2.167 -6.396
Dy -9.192 -4.747 -2.711
Tl 0.000 0.000 0.000
```

Properties
M_tot	0.0	μB/f.u.
E	-4.446	eV per atom
DOS at the Fermi energy	33.46	states/eV/cell
space-group type	R-3, No. 148


Record 3
Computed, not measured: an optimized crystal structure of La3Dy2Tl at the PBE-GGA level of DFT.

Cell and atoms, written as extended XYZ:
```
12
Lattice="-2.592 -6.722 1.122 5.676 2.125 2.748 -6.499 11.334 3.213" Properties=species:S:1:pos:R:3 pbc="T T T"
La -0.010 8.201 5.492
La -3.405 -1.464 1.591
La -4.424 5.908 6.110
La -2.220 6.602 3.323
La -1.196 0.135 3.760
La 1.009 0.830 0.973
Dy 0.180 3.501 3.515
Dy -3.336 9.448 5.215
Dy -0.079 -2.711 1.868
Dy -3.596 3.237 3.568
Tl 3.535 4.143 3.766
Tl -6.950 2.595 3.317
```

Properties
M_tot	0.0	μB/f.u.
E	-4.501	eV per atom
DOS at the Fermi energy	15.79	states/eV/cell
space-group type	P-1, No. 2


Record 4
Computed, not measured: an optimized crystal structure of La6DyTl2 at the PBE-GGA level of DFT.

Cell and atoms, written as extended XYZ:
```
9
Lattice="0.304 0.909 3.775 6.018 -2.773 2.191 8.424 8.882 -0.807" Properties=species:S:1:pos:R:3 pbc="T T T"
La 4.396 0.263 3.601
La 10.350 6.755 1.559
La 9.887 3.381 2.408
La 7.410 1.989 4.952
La 7.336 5.029 0.208
La 4.859 3.637 2.751
Dy 0.000 0.000 0.000
Tl 2.220 1.745 1.410
Tl 12.526 5.273 3.749
```

Properties
M_tot	0.0	μB/f.u.
E	-4.495	eV per atom
DOS at the Fermi energy	12.62	states/eV/cell
space-group type	C2/m, No. 12
polymorph energy (0 for the lowest one)	0.0	meV per atom


Record 5
Computed, not measured: an optimized crystal structure of La2DyTl3 at the PBE-GGA level of DFT.

Cell and atoms, written as extended XYZ:
```
6
Lattice="3.860 0.000 0.000 0.000 3.860 0.000 0.000 0.000 12.106" Properties=species:S:1:pos:R:3 pbc="T T T"
La 1.930 1.930 9.999
La 1.930 1.930 2.107
Dy 1.930 1.930 6.053
Tl 0.000 0.000 0.000
Tl 0.000 0.000 7.875
Tl 0.000 0.000 4.231
```

Properties
M_tot	0.0	μB/f.u.
E	-3.996	eV per atom
DOS at the Fermi energy	4.84	states/eV/cell
space-group type	P4/mmm, No. 123
polymorph energy (0 for the lowest one)	0.0	meV per atom


Record 6
Computed, not measured: an optimized crystal structure of La2Dy3Tl4 at the PBE-GGA level of DFT.

Cell and atoms, written as extended XYZ:
```
9
Lattice="5.366 0.001 0.001 2.683 4.642 0.172 -0.002 -0.411 10.905" Properties=species:S:1:pos:R:3 pbc="T T T"
La 2.681 1.228 8.560
La 5.366 3.004 2.517
Dy 2.682 1.372 4.706
Dy 0.000 0.000 0.000
Dy 5.365 2.859 6.372
Tl 5.364 2.727 9.911
Tl 5.366 -0.144 3.851
Tl 2.681 4.375 7.226
Tl 2.683 1.505 1.167
```

Properties
M_tot	0.0	μB/f.u.
E	-3.984	eV per atom
DOS at the Fermi energy	9.16	states/eV/cell
space-group type	C2/m, No. 12
polymorph energy (0 for the lowest one)	0.0	meV per atom


Record 7
Computed, not measured: an optimized crystal structure of La2Dy2Tl3 at the PBE-GGA level of DFT.

Cell and atoms, written as extended XYZ:
```
7
Lattice="5.397 -0.004 -0.001 -2.691 7.823 1.875 0.004 0.639 5.503" Properties=species:S:1:pos:R:3 pbc="T T T"
La 2.706 6.262 4.844
La 0.004 2.196 2.533
Dy 2.704 2.420 5.291
Dy 0.006 6.038 2.086
Tl 0.000 0.000 0.000
Tl 2.704 4.048 2.312
Tl 0.006 4.410 5.065
```

Properties
M_tot	0.0	μB/f.u.
E	-3.985	eV per atom
DOS at the Fermi energy	6.85	states/eV/cell
space-group type	C2/m, No. 12
polymorph energy (0 for the lowest one)	3.6	meV per atom


Record 8
Computed, not measured: an optimized crystal structure of LaDy3Tl at the PBE-GGA level of DFT.

Cell and atoms, written as extended XYZ:
```
10
Lattice="-4.912 0.562 -0.076 -0.093 -1.438 -4.639 -3.907 -11.871 3.759" Properties=species:S:1:pos:R:3 pbc="T T T"
La -5.144 -9.211 -0.856
La -2.040 -3.733 -0.073
Dy -4.219 -1.131 -0.837
Dy -5.392 -10.956 2.233
Dy -4.792 -5.935 0.664
Dy -1.792 -1.988 -3.163
Dy -7.877 -11.251 -0.169
Dy -2.392 -7.009 -1.594
Tl -4.567 -4.382 -2.365
Tl -7.528 -8.000 1.359
```

Properties
M_tot	0.0	μB/f.u.
E	-4.331	eV per atom
DOS at the Fermi energy	14.62	states/eV/cell
space-group type	Cmcm, No. 63
polymorph energy (0 for the lowest one)	0.0	meV per atom


Record 9
Computed, not measured: an optimized crystal structure of La3Dy2Tl3 at the PBE-GGA level of DFT.

Cell and atoms, written as extended XYZ:
```
8
Lattice="-3.105 0.541 -1.393 -0.396 -8.630 -2.471 -3.159 2.526 8.024" Properties=species:S:1:pos:R:3 pbc="T T T"
La -2.699 -4.633 4.214
La -0.095 -2.080 -0.596
La -0.762 0.609 1.934
Dy -2.238 -1.193 4.526
Dy -1.317 -4.912 1.027
Tl -2.944 -2.118 1.476
Tl -1.794 -4.983 -2.201
Tl -3.476 1.808 4.188
```

Properties
M_tot	0.0	μB/f.u.
E	-4.143	eV per atom
DOS at the Fermi energy	11.48	states/eV/cell
space-group type	P-62m, No. 189
polymorph energy (0 for the lowest one)	62.3	meV per atom


Record 10
Computed, not measured: an optimized crystal structure of La2Dy2Tl at the PBE-GGA level of DFT.

Cell and atoms, written as extended XYZ:
```
5
Lattice="5.273 0.000 1.719 2.387 4.733 1.625 0.727 0.580 6.716" Properties=species:S:1:pos:R:3 pbc="T T T"
La 6.659 4.186 6.415
La 1.728 1.126 3.646
Dy 3.625 2.345 6.775
Dy 4.763 2.968 3.286
Tl 0.000 0.000 0.000
```

Properties
M_tot	0.0	μB/f.u.
E	-4.340	eV per atom
DOS at the Fermi energy	6.13	states/eV/cell
space-group type	R-3m, No. 166
polymorph energy (0 for the lowest one)	53.5	meV per atom


Record 11
Computed, not measured: an optimized crystal structure of LaDy3Tl2 at the PBE-GGA level of DFT.

Cell and atoms, written as extended XYZ:
```
12
Lattice="-3.725 0.159 3.956 2.448 -9.020 -1.067 5.109 6.358 4.555" Properties=species:S:1:pos:R:3 pbc="T T T"
La 3.223 -0.710 6.798
La 0.610 -1.793 0.646
Dy 3.441 -1.642 3.305
Dy 1.673 -4.005 5.471
Dy 1.810 2.419 5.341
Dy 2.023 -4.923 2.102
Dy 2.159 1.501 1.973
Dy 0.392 -0.862 4.138
Tl 2.549 5.276 5.923
Tl 1.283 -7.779 1.520
Tl -0.761 -3.921 3.175
Tl 4.594 1.418 4.269
```

Properties
M_tot	0.3	μB/f.u.
E	-4.101	eV per atom
DOS at the Fermi energy	13.47	states/eV/cell
space-group type	C2/m, No. 12
polymorph energy (0 for the lowest one)	79.1	meV per atom


Record 12
Computed, not measured: an optimized crystal structure of LaDy6Tl at the PBE-GGA level of DFT.

Cell and atoms, written as extended XYZ:
```
8
Lattice="4.910 0.000 0.000 0.000 4.910 0.000 0.000 0.000 10.206" Properties=species:S:1:pos:R:3 pbc="T T T"
La 0.000 0.000 0.000
Dy 2.455 2.455 0.000
Dy 2.455 2.455 5.103
Dy 2.455 0.000 2.649
Dy 2.455 0.000 7.558
Dy 0.000 2.455 2.649
Dy 0.000 2.455 7.558
Tl 0.000 0.000 5.103
```

Properties
M_tot	0.0	μB/f.u.
E	-4.415	eV per atom
DOS at the Fermi energy	10.75	states/eV/cell
space-group type	P4/mmm, No. 123


Record 13
Computed, not measured: an optimized crystal structure of LaDyTl at the PBE-GGA level of DFT.

Cell and atoms, written as extended XYZ:
```
3
Lattice="3.423 0.000 0.000 0.000 3.423 0.000 -1.712 -1.712 9.269" Properties=species:S:1:pos:R:3 pbc="T T T"
Tl 1.712 1.712 2.104
La 1.712 1.712 5.498
Dy 0.000 0.000 8.156
```

Properties
M_tot	0.0	μB/f.u.
E	-3.751	eV per atom
DOS at the Fermi energy	4.47	states/eV/cell
space-group type	I4mm, No. 107
polymorph energy (0 for the lowest one)	480.4	meV per atom


Record 14
Computed, not measured: an optimized crystal structure of La3Dy4Tl4 at the PBE-GGA level of DFT.

Cell and atoms, written as extended XYZ:
```
11
Lattice="5.316 0.000 0.000 0.000 3.776 0.000 -2.658 -1.888 17.206" Properties=species:S:1:pos:R:3 pbc="T T T"
La 0.000 1.888 12.327
La 2.658 0.000 4.879
La 0.000 0.000 0.000
Dy 0.000 0.000 9.106
Dy 0.000 1.888 3.204
Dy 2.658 0.000 14.003
Dy 2.658 1.888 8.101
Tl 2.658 0.000 10.879
Tl 0.000 0.000 15.584
Tl 2.658 1.888 1.623
Tl 0.000 1.888 6.327
```

Properties
M_tot	0.0	μB/f.u.
E	-4.071	eV per atom
DOS at the Fermi energy	12.56	states/eV/cell
space-group type	Immm, No. 71


Record 15
Computed, not measured: an optimized crystal structure of LaDy5Tl3 at the PBE-GGA level of DFT.

Cell and atoms, written as extended XYZ:
```
18
Lattice="6.789 0.000 0.000 0.000 9.428 0.000 0.000 -4.714 8.164" Properties=species:S:1:pos:R:3 pbc="T T T"
La 0.000 0.000 0.000
La 3.395 0.000 0.000
Dy 0.000 4.714 2.722
Dy 3.395 0.000 5.442
Dy 0.000 0.000 5.442
Dy 3.395 4.714 2.722
Dy 5.092 3.164 5.480
Dy 5.092 7.878 2.684
Dy 5.092 3.100 0.000
Dy 1.697 1.550 2.684
Dy 1.697 -3.164 5.480
Dy 1.697 6.329 0.000
Tl 5.092 1.613 2.793
Tl 5.092 6.327 5.371
Tl 5.092 6.202 0.000
Tl 1.697 3.101 5.371
Tl 1.697 -1.613 2.793
Tl 1.697 3.226 0.000
```

Properties
M_tot	1.6	μB/f.u.
E	-4.153	eV per atom
DOS at the Fermi energy	20.87	states/eV/cell
space-group type	P6_3/mcm, No. 193


Record 16
Computed, not measured: an optimized crystal structure of LaDyTl at the PBE-GGA level of DFT.

Cell and atoms, written as extended XYZ:
```
3
Lattice="-2.695 1.206 -2.465 -3.809 -1.271 3.542 2.161 4.899 0.034" Properties=species:S:1:pos:R:3 pbc="T T T"
Tl -0.304 0.136 -0.278
La -1.655 3.659 -0.466
Dy -2.385 1.039 1.855
```

Properties
M_tot	0.0	μB/f.u.
E	-4.154	eV per atom
DOS at the Fermi energy	1.84	states/eV/cell
space-group type	P3m1, No. 156
polymorph energy (0 for the lowest one)	78.0	meV per atom


Record 17
Computed, not measured: an optimized crystal structure of La2Dy3Tl at the PBE-GGA level of DFT.

Cell and atoms, written as extended XYZ:
```
12
Lattice="-2.637 -6.003 -1.051 5.424 -2.898 2.947 -3.294 3.742 7.866" Properties=species:S:1:pos:R:3 pbc="T T T"
La 0.443 -5.036 4.057
La -1.939 -2.838 2.714
La 1.433 -2.322 7.047
La -0.950 -0.123 5.705
Dy -0.442 -4.818 0.020
Dy 3.229 -4.084 1.876
Dy -1.069 0.385 2.076
Dy -1.949 -3.640 6.292
Dy 1.443 -1.520 3.469
Dy 0.563 -5.545 7.686
Tl 1.995 -6.893 1.384
Tl 0.792 -2.008 0.512
```

Properties
M_tot	0.0	μB/f.u.
E	-4.385	eV per atom
DOS at the Fermi energy	14.48	states/eV/cell
space-group type	C2/c, No. 15
polymorph energy (0 for the lowest one)	9.5	meV per atom


Record 18
Computed, not measured: an optimized crystal structure of La4DyTl2 at the PBE-GGA level of DFT.

Cell and atoms, written as extended XYZ:
```
7
Lattice="-4.263 1.844 4.383 2.868 -5.577 1.203 4.738 3.515 2.421" Properties=species:S:1:pos:R:3 pbc="T T T"
Tl 0.466 -1.189 3.822
Tl 2.877 0.971 4.186
Dy 0.000 0.000 0.000
La -0.472 2.123 4.959
La 3.815 -2.341 3.048
La -2.132 0.922 2.192
La 1.434 -2.788 0.602
```

Properties
M_tot	0.7	μB/f.u.
E	-4.117	eV per atom
DOS at the Fermi energy	11.14	states/eV/cell
space-group type	C2/m, No. 12
polymorph energy (0 for the lowest one)	50.6	meV per atom


Record 19
Computed, not measured: an optimized crystal structure of LaDy2Tl4 at the PBE-GGA level of DFT.

Cell and atoms, written as extended XYZ:
```
7
Lattice="-0.632 2.645 -4.530 -2.148 -4.293 -2.207 -7.044 2.323 2.339" Properties=species:S:1:pos:R:3 pbc="T T T"
Tl -2.256 1.962 -1.621
Tl -6.178 -0.464 0.591
Tl -5.419 3.005 -0.571
Tl -3.015 -1.507 -0.459
Dy 0.000 0.000 0.000
Dy -4.912 0.337 -2.199
La -1.390 -0.824 -3.369
```

Properties
M_tot	0.0	μB/f.u.
E	-3.589	eV per atom
DOS at the Fermi energy	5.50	states/eV/cell
space-group type	P4/mmm, No. 123


Record 20
Computed, not measured: an optimized crystal structure of La4Dy3Tl4 at the PBE-GGA level of DFT.

Cell and atoms, written as extended XYZ:
```
11
Lattice="3.662 0.000 0.000 0.000 9.533 0.000 -1.831 -4.766 9.941" Properties=species:S:1:pos:R:3 pbc="T T T"
La 0.000 -1.586 6.719
La 1.831 3.180 3.222
La 1.831 6.353 3.222
La 0.000 1.586 6.719
Dy 0.000 0.000 1.811
Dy 1.831 4.766 8.131
Dy 0.000 4.766 0.000
Tl 0.000 4.766 5.586
Tl 1.831 0.000 4.356
Tl 1.831 7.422 0.000
Tl 1.831 2.110 0.000
```

Properties
M_tot	0.0	μB/f.u.
E	-4.183	eV per atom
DOS at the Fermi energy	10.45	states/eV/cell
space-group type	Immm, No. 71